1.
VASP calculation (PBE-GGA) on a geometry-optimized In2AsPPb structure.

POSCAR file:
```
In2AsPPb
1.0
5.562 0.000 0.000
0.000 4.671 0.000
0.000 0.000 5.562
Pb P As In
1 1 1 2
direct
0.500 0.500 0.500
0.000 0.500 0.000
0.000 0.000 0.000
0.000 0.000 0.500
0.500 0.000 0.000
```

Computed properties:
ΔE_f: 0.440 eV per atom
crystal system: tetragonal
N(E_F): 0.609 states/eV/atom
SG: P4/mmm



2.
VASP calculation (PBE-GGA) on a geometry-optimized LaNd4Y10 structure.

POSCAR file:
```
LaNd4Y10
1.0
-9.525 -4.986 -1.148
-2.043 -8.339 2.259
-6.689 -0.286 5.830
La Nd Y
1 4 10
direct
0.000 0.000 0.000
0.548 0.673 0.232
0.779 0.768 0.673
0.221 0.232 0.327
0.452 0.327 0.768
0.250 0.500 0.500
0.705 0.339 0.911
0.956 0.089 0.339
0.384 0.911 0.661
0.955 0.661 0.089
0.295 0.661 0.089
0.750 0.500 0.500
0.045 0.339 0.911
0.616 0.089 0.339
0.044 0.911 0.661
```

Computed properties:
ΔE_f: 0.454 eV per atom
crystal system: tetragonal
N(E_F): 1.735 states/eV/atom
SG: I4/m



3.
VASP calculation (PBE-GGA) on a geometry-optimized LaAlSi2Ni5 structure.

POSCAR file:
```
LaAlSi2Ni5
1.0
-0.284 3.689 -0.936
-1.443 -0.973 -3.397
-9.102 0.260 3.792
La Al Si Ni
1 1 2 5
direct
0.000 0.000 0.500
0.000 0.000 0.000
0.500 0.500 0.274
0.500 0.500 0.726
0.000 0.500 0.150
0.500 0.000 0.150
0.000 0.500 0.850
0.500 0.000 0.850
0.500 0.500 0.500
```

Computed properties:
E_tot: -5.7291 eV/atom
crystal system: tetragonal
N(E_F): 0.638 states/eV/atom
SG: P4/mmm



4.
VASP calculation (PBE-GGA) on a geometry-optimized Ni2WS structure.

POSCAR file:
```
Ni2WS
1.0
5.937 0.000 -0.003
0.000 3.209 0.000
-2.872 0.000 5.520
Ni S W
4 2 2
direct
0.149 0.250 0.150
0.851 0.750 0.850
0.483 0.250 0.651
0.517 0.750 0.349
0.815 0.250 0.568
0.185 0.750 0.432
0.684 0.250 0.122
0.316 0.750 0.878
```

Computed properties:
E_tot: -7.1859 eV/atom
crystal system: monoclinic
N(E_F): 0.716 states/eV/atom
SG: P2_1/m



5.
VASP calculation (PBE-GGA) on a geometry-optimized BaInSb2 structure.

POSCAR file:
```
BaInSb2
1.0
8.519 0.011 0.007
7.320 4.358 0.007
7.320 2.019 3.862
Ba In Sb
1 1 2
direct
0.250 0.250 0.250
0.750 0.750 0.750
0.016 0.016 0.016
0.484 0.484 0.484
```

Computed properties:
E_tot: -3.5249 eV/atom
crystal system: trigonal
N(E_F): 0.946 states/eV/atom
SG: R-3m



6.
VASP calculation (PBE-GGA) on a geometry-optimized Al2GaNi2 structure.

POSCAR file:
```
Al2GaNi2
1.0
-6.298 1.758 -1.871
-2.566 -4.140 4.747
0.038 2.173 1.915
Ni Al Ga
4 4 2
direct
0.356 0.856 0.000
0.856 0.644 0.000
0.644 0.144 0.000
0.144 0.356 0.000
0.152 0.652 0.500
0.652 0.848 0.500
0.848 0.348 0.500
0.348 0.152 0.500
0.000 0.000 0.000
0.500 0.500 0.000
```

Computed properties:
ΔE_f: -0.415 eV per atom
crystal system: tetragonal
N(E_F): 0.408 states/eV/atom
SG: P4/mbm



7.
VASP calculation (PBE-GGA) on a geometry-optimized Ta3BiSe structure.

POSCAR file:
```
Ta3BiSe
1.0
-1.168 -4.587 -0.785
3.956 -0.552 -2.659
2.452 -1.295 3.916
Bi Se Ta
1 1 3
direct
0.500 0.500 0.500
0.000 0.000 0.000
0.000 0.500 0.000
0.000 0.000 0.500
0.500 0.000 0.000
```

Computed properties:
crystal system: cubic
N(E_F): 0.679 states/eV/atom
SG: Pm-3m
relative energy among the computed polymorphs: 0.000 eV/atom



8.
VASP calculation (PBE-GGA) on a geometry-optimized Re2MoPtC structure.

POSCAR file:
```
Re2MoPtC
1.0
-2.643 3.172 2.705
-2.246 0.513 -2.796
-2.831 -3.717 1.592
Re Mo C Pt
2 1 1 1
direct
0.000 0.000 0.500
0.500 0.000 0.000
0.500 0.500 0.500
0.000 0.500 0.000
0.000 0.000 0.000
```

Computed properties:
ΔE_f: 2.307 eV per atom
crystal system: tetragonal
N(E_F): 1.322 states/eV/atom
SG: P4/mmm



Please write out number 2 again, unchanged.
VASP calculation (PBE-GGA) on a geometry-optimized LaNd4Y10 structure.

POSCAR file:
```
LaNd4Y10
1.0
-9.525 -4.986 -1.148
-2.043 -8.339 2.259
-6.689 -0.286 5.830
La Nd Y
1 4 10
direct
0.000 0.000 0.000
0.548 0.673 0.232
0.779 0.768 0.673
0.221 0.232 0.327
0.452 0.327 0.768
0.250 0.500 0.500
0.705 0.339 0.911
0.956 0.089 0.339
0.384 0.911 0.661
0.955 0.661 0.089
0.295 0.661 0.089
0.750 0.500 0.500
0.045 0.339 0.911
0.616 0.089 0.339
0.044 0.911 0.661
```

Computed properties:
ΔE_f: 0.454 eV per atom
crystal system: tetragonal
N(E_F): 1.735 states/eV/atom
SG: I4/m